No. 1
The following is a DFT calculation (PBE) of an optimized crystal structure of Sm6Cu2Pb.

Values from the calculation:
The value obtained for the total magnetization is 0.000 μB/atom. Its electronic total energy is -4.670 eV/atom. The value obtained for the density of states at the Fermi level is 17.35 states/eV/cell. The formation energy is -0.202 eV per atom. As for the space group: Immm.

Cell: 8.761 8.761 8.761 Å, 104.87 109.16 114.53°
Element x y z (fractional)
Sm (0.525, 0.713, 0.812)
Sm (0.475, 0.287, 0.188)
Sm (0.099, 0.287, 0.812)
Sm (0.901, 0.713, 0.188)
Sm (0.800, 0.767, 0.567)
Sm (0.200, 0.233, 0.433)
Sm (0.200, 0.767, 0.967)
Sm (0.800, 0.233, 0.033)
Sm (0.693, 0.373, 0.680)
Sm (0.307, 0.627, 0.320)
Sm (0.307, 0.987, 0.680)
Sm (0.693, 0.013, 0.320)
Cu (0.500, 0.383, 0.883)
Cu (0.500, 0.617, 0.117)
Cu (0.644, 0.000, 0.644)
Cu (0.356, 0.000, 0.356)
Pb (0.000, 0.500, 0.500)
Pb (0.000, 0.000, 0.000)

---

No. 2
The following is a DFT calculation (PBE) of an optimized crystal structure of CrNi4Pd2.

Values from the calculation:
The value obtained for the total magnetization is 0.725 μB/atom. Its electronic total energy is -5.637 eV/atom. The value obtained for the density of states at the Fermi level is 16.13 states/eV/cell. The formation energy is 0.525 eV per atom. As for the space group: I4/mmm.

Cell: 4.594 4.594 5.708 Å, 113.73 113.73 90.00°
Each line ends with the local moment (μB).
Element x y z (fractional)
Cr (0.000, 0.000, 0.000)  3.03
Pd (0.642, 0.642, 0.284)  0.17
Pd (0.358, 0.358, 0.716)  0.17
Ni (0.750, 0.250, 0.500)  0.58
Ni (0.250, 0.750, 0.500)  0.58
Ni (0.500, 0.000, 0.000)  0.20
Ni (0.000, 0.500, 0.000)  0.20

---

No. 3
The following is a DFT calculation (PBE) of an optimized crystal structure of Al2NiWAu.

Values from the calculation:
The value obtained for the total magnetization is 0.000 μB/atom. Its electronic total energy is -5.114 eV/atom. The value obtained for the density of states at the Fermi level is 3.96 states/eV/cell. The formation energy is 0.785 eV per atom. As for the space group: P4/mmm.

Cell: 4.288 4.681 4.288 Å, 90.00 90.00 90.00°
Element x y z (fractional)
Ni (0.000, 0.000, 0.000)
Au (0.000, 0.500, 0.000)
Al (0.000, 0.000, 0.500)
Al (0.500, 0.000, 0.000)
W (0.500, 0.500, 0.500)

---

No. 4
The following is a DFT calculation (PBE) of an optimized crystal structure of Ca2YHf.

Values from the calculation:
The energy above the lowest structure with this stoichiometry comes out at 0 meV/atom. The value obtained for the total magnetization is 0.000 μB/atom. Its electronic total energy is -4.615 eV/atom. The value obtained for the density of states at the Fermi level is 8.90 states/eV/cell. The formation energy is 0.490 eV per atom. As for the space group: Fm-3m.

Cell: 5.624 5.624 5.624 Å, 60.00 60.00 60.00°
Element x y z (fractional)
Y (0.000, 0.000, 0.000)
Ca (0.250, 0.250, 0.250)
Ca (0.750, 0.750, 0.750)
Hf (0.500, 0.500, 0.500)

---

No. 5
The following is a DFT calculation (PBE) of an optimized crystal structure of SmB2RuRh.

Values from the calculation:
The value obtained for the total magnetization is 0.000 μB/atom. Its electronic total energy is -7.524 eV/atom. The value obtained for the density of states at the Fermi level is 0.52 states/eV/cell. The formation energy is -0.584 eV per atom. As for the space group: I-4m2.

Cell: 3.927 3.927 5.577 Å, 110.62 110.62 90.00°
Element x y z (fractional)
Sm (0.000, 0.000, 0.000)
B (0.665, 0.665, 0.331)
B (0.335, 0.335, 0.669)
Ru (0.250, 0.750, 0.500)
Rh (0.750, 0.250, 0.500)

---

No. 6
The following is a DFT calculation (PBE) of an optimized crystal structure of Ac2ZrCu.

Values from the calculation:
The energy above the lowest structure with this stoichiometry comes out at 0 meV/atom. The value obtained for the total magnetization is 0.000 μB/atom. Its electronic total energy is -5.082 eV/atom. The value obtained for the density of states at the Fermi level is 3.62 states/eV/cell. The formation energy is 0.133 eV per atom. As for the space group: P4/mmm.

Cell: 3.719 3.719 8.729 Å, 90.00 90.00 90.00°
Element x y z (fractional)
Ac (0.000, 0.000, 0.778)
Ac (0.000, 0.000, 0.222)
Cu (0.500, 0.500, 0.000)
Zr (0.500, 0.500, 0.500)

---

No. 7
The following is a DFT calculation (PBE) of an optimized crystal structure of GeSbRh2.

Values from the calculation:
The value obtained for the total magnetization is 0.000 μB/atom. Its electronic total energy is -6.381 eV/atom. The value obtained for the density of states at the Fermi level is 14.12 states/eV/cell. The value obtained for the formation energy (no corrections) is -2.1 eV per formula unit. As for the space group: Pbca.

Cell: 5.708 6.718 14.602 Å, 90.00 90.00 90.00°
Element x y z (fractional)
Ge (0.199, 0.054, 0.943)
Ge (0.199, 0.554, 0.557)
Ge (0.699, 0.446, 0.943)
Ge (0.301, 0.054, 0.443)
Ge (0.801, 0.946, 0.057)
Ge (0.801, 0.446, 0.443)
Ge (0.301, 0.554, 0.057)
Ge (0.699, 0.946, 0.557)
Sb (0.287, 0.083, 0.687)
Sb (0.787, 0.917, 0.813)
Sb (0.213, 0.583, 0.313)
Sb (0.713, 0.417, 0.187)
Sb (0.713, 0.917, 0.313)
Sb (0.213, 0.083, 0.187)
Sb (0.787, 0.417, 0.687)
Sb (0.287, 0.583, 0.813)
Rh (0.986, 0.286, 0.837)
Rh (0.514, 0.786, 0.163)
Rh (0.486, 0.714, 0.663)
Rh (0.007, 0.208, 0.551)
Rh (0.986, 0.786, 0.663)
Rh (0.486, 0.214, 0.837)
Rh (0.514, 0.286, 0.337)
Rh (0.014, 0.714, 0.163)
Rh (0.993, 0.792, 0.449)
Rh (0.007, 0.708, 0.949)
Rh (0.507, 0.292, 0.551)
Rh (0.493, 0.208, 0.051)
Rh (0.507, 0.792, 0.949)
Rh (0.993, 0.292, 0.051)
Rh (0.493, 0.708, 0.449)
Rh (0.014, 0.214, 0.337)

---

No. 8
The following is a DFT calculation (PBE) of an optimized crystal structure of NiIr3Rh2.

Values from the calculation:
The energy above the lowest structure with this stoichiometry comes out at 244 meV/atom. The value obtained for the total magnetization is 0.000 μB/atom. Its electronic total energy is -7.586 eV/atom. The value obtained for the density of states at the Fermi level is 13.02 states/eV/cell. The formation energy is 0.258 eV per atom. As for the space group: Cmcm.

Cell: 5.207 8.459 5.808 Å, 136.74 90.00 90.00°
Element x y z (fractional)
Ni (0.250, 0.227, 0.000)
Ni (0.750, 0.773, 0.000)
Ir (0.000, 0.159, 0.318)
Ir (0.500, 0.841, 0.682)
Ir (0.000, 0.500, 0.000)
Ir (0.500, 0.500, 0.000)
Ir (0.000, 0.841, 0.682)
Ir (0.500, 0.159, 0.318)
Rh (0.750, 0.452, 0.346)
Rh (0.250, 0.548, 0.654)
Rh (0.250, 0.894, 0.346)
Rh (0.750, 0.106, 0.654)